Entry 1:
A relaxed structure of SiPt2Cl. Source: the Alexandria database, functional PBE-GGA.

Cell and atoms, written as CIF:
```
data_SiPt2Cl
_chemical_formula_sum 'Si2 Pt4 Cl2'
_symmetry_space_group_name_H-M 'P 1'
_symmetry_Int_Tables_number 1
_symmetry_space_group_name_Hall 'P 1'
_cell_length_a 3.5057
_cell_length_b 3.5057
_cell_length_c 11.4572
_cell_angle_alpha 90.00
_cell_angle_beta 90.00
_cell_angle_gamma 90.00
loop_
_atom_site_label
_atom_site_type_symbol
_atom_site_fract_x
_atom_site_fract_y
_atom_site_fract_z
Si1 Si 0.0000 0.0000 0.0000
Si2 Si 0.5000 0.5000 0.5000
Pt1 Pt 0.0000 0.0000 0.5000
Pt2 Pt 0.0000 0.5000 0.2500
Pt3 Pt 0.5000 0.0000 0.7500
Pt4 Pt 0.5000 0.5000 0.0000
Cl1 Cl 0.0000 0.5000 0.7500
Cl2 Cl 0.5000 0.0000 0.2500
```

Values from the calculation:
Formation energy without anion corrections   0.30 eV per atom
Symmetry   I-4m2 (119)
Crystal system   tetragonal
Magnetic moment   0.00 μB/f.u.
ρ   10.7 g cm⁻³

***

Entry 2:
A relaxed structure of Si2PtCl. Source: the Alexandria database, functional PBE-GGA.

Cell and atoms, written as CIF:
```
data_Si2PtCl
_chemical_formula_sum 'Si4 Pt2 Cl2'
_symmetry_space_group_name_H-M 'P 1'
_symmetry_Int_Tables_number 1
_symmetry_space_group_name_Hall 'P 1'
_cell_length_a 3.4400
_cell_length_b 6.1222
_cell_length_c 7.3708
_cell_angle_alpha 90.00
_cell_angle_beta 90.00
_cell_angle_gamma 90.00
loop_
_atom_site_label
_atom_site_type_symbol
_atom_site_fract_x
_atom_site_fract_y
_atom_site_fract_z
Si1 Si 0.0000 0.0000 0.2279
Si2 Si 0.0000 0.0000 0.7721
Si3 Si 0.5000 0.5000 0.2721
Si4 Si 0.5000 0.5000 0.7279
Pt1 Pt 0.0000 0.5000 0.5000
Pt2 Pt 0.5000 0.0000 0.0000
Cl1 Cl 0.0000 0.5000 0.0000
Cl2 Cl 0.5000 0.0000 0.5000
```

Values from the calculation:
Formation energy without anion corrections   0.28 eV per atom
Symmetry   Immm (71)
Crystal system   orthorhombic
Magnetic moment   0.00 μB/f.u.
ρ   6.1 g cm⁻³

***

Entry 3:
A relaxed structure of Si2PtCl. Source: the Alexandria database, functional PBE-GGA.

Cell and atoms, written as CIF:
```
data_Si2PtCl
_chemical_formula_sum 'Si2 Pt1 Cl1'
_symmetry_space_group_name_H-M 'P 1'
_symmetry_Int_Tables_number 1
_symmetry_space_group_name_Hall 'P 1'
_cell_length_a 2.7904
_cell_length_b 4.1464
_cell_length_c 6.7006
_cell_angle_alpha 90.00
_cell_angle_beta 90.00
_cell_angle_gamma 90.00
loop_
_atom_site_label
_atom_site_type_symbol
_atom_site_fract_x
_atom_site_fract_y
_atom_site_fract_z
Si1 Si 0.0000 0.0000 0.0000
Si2 Si 0.5000 0.0000 0.5000
Pt1 Pt 0.0000 0.5000 0.5000
Cl1 Cl 0.5000 0.5000 0.0000
```

Values from the calculation:
Formation energy without anion corrections   0.26 eV per atom
Symmetry   Pmmm (47)
Crystal system   orthorhombic
Magnetic moment   0.00 μB/f.u.
ρ   6.1 g cm⁻³

***

Entry 4:
A relaxed structure of SiPt2Cl. Source: the Alexandria database, functional PBE-GGA.

Cell and atoms, written as CIF:
```
data_SiPt2Cl
_chemical_formula_sum 'Si2 Pt4 Cl2'
_symmetry_space_group_name_H-M 'P 1'
_symmetry_Int_Tables_number 1
_symmetry_space_group_name_Hall 'P 1'
_cell_length_a 5.5395
_cell_length_b 7.1511
_cell_length_c 4.4724
_cell_angle_alpha 90.00
_cell_angle_beta 127.53
_cell_angle_gamma 90.00
loop_
_atom_site_label
_atom_site_type_symbol
_atom_site_fract_x
_atom_site_fract_y
_atom_site_fract_z
Si1 Si 0.0000 0.0000 0.0000
Si2 Si 0.5000 0.5000 0.0000
Pt1 Pt 0.2500 0.2500 0.5000
Pt2 Pt 0.2500 0.7500 0.5000
Pt3 Pt 0.7500 0.2500 0.5000
Pt4 Pt 0.7500 0.7500 0.5000
Cl1 Cl 0.0000 0.5000 0.0000
Cl2 Cl 0.5000 0.0000 0.0000
```

Values from the calculation:
Formation energy without anion corrections   0.18 eV per atom
Symmetry   C2/m (12)
Crystal system   monoclinic
Magnetic moment   0.00 μB/f.u.
ρ   10.7 g cm⁻³

***

Entry 5:
A relaxed structure of SiPtCl2. Source: the Alexandria database, functional PBE-GGA.

Cell and atoms, written as CIF:
```
data_SiPtCl2
_chemical_formula_sum 'Si2 Pt2 Cl4'
_symmetry_space_group_name_H-M 'P 1'
_symmetry_Int_Tables_number 1
_symmetry_space_group_name_Hall 'P 1'
_cell_length_a 3.0840
_cell_length_b 5.9408
_cell_length_c 8.5722
_cell_angle_alpha 90.00
_cell_angle_beta 90.00
_cell_angle_gamma 90.00
loop_
_atom_site_label
_atom_site_type_symbol
_atom_site_fract_x
_atom_site_fract_y
_atom_site_fract_z
Si1 Si 0.0000 0.0000 0.0000
Si2 Si 0.5000 0.5000 0.0000
Pt1 Pt 0.0000 0.0000 0.5000
Pt2 Pt 0.5000 0.5000 0.5000
Cl1 Cl 0.0000 0.5000 0.2793
Cl2 Cl 0.0000 0.5000 0.7207
Cl3 Cl 0.5000 0.0000 0.2793
Cl4 Cl 0.5000 0.0000 0.7207
```

Values from the calculation:
Formation energy without anion corrections   0.41 eV per atom
Symmetry   Cmmm (65)
Crystal system   orthorhombic
Magnetic moment   0.00 μB/f.u.
ρ   6.2 g cm⁻³

***

Entry 6:
A relaxed structure of SiPt2Cl. Source: the Alexandria database, functional PBE-GGA.

Cell and atoms, written as CIF:
```
data_SiPt2Cl
_chemical_formula_sum 'Si1 Pt2 Cl1'
_symmetry_space_group_name_H-M 'P 1'
_symmetry_Int_Tables_number 1
_symmetry_space_group_name_Hall 'P 1'
_cell_length_a 3.1120
_cell_length_b 3.0668
_cell_length_c 7.0689
_cell_angle_alpha 90.00
_cell_angle_beta 90.06
_cell_angle_gamma 90.00
loop_
_atom_site_label
_atom_site_type_symbol
_atom_site_fract_x
_atom_site_fract_y
_atom_site_fract_z
Si1 Si 0.0000 0.0000 0.0000
Pt1 Pt 0.4993 0.5000 0.8111
Pt2 Pt 0.5007 0.5000 0.1889
Cl1 Cl 0.5000 0.0000 0.5000
```

Values from the calculation:
Formation energy without anion corrections   -0.25 eV per atom
Symmetry   P2/m (10)
Crystal system   monoclinic
Magnetic moment   0.00 μB/f.u.
ρ   11.2 g cm⁻³

***

Entry 7:
A relaxed structure of Si2PtCl. Source: the Alexandria database, functional PBE-GGA.

Cell and atoms, written as CIF:
```
data_Si2PtCl
_chemical_formula_sum 'Si8 Pt4 Cl4'
_symmetry_space_group_name_H-M 'P 1'
_symmetry_Int_Tables_number 1
_symmetry_space_group_name_Hall 'P 1'
_cell_length_a 6.3903
_cell_length_b 6.3903
_cell_length_c 6.3903
_cell_angle_alpha 90.00
_cell_angle_beta 90.00
_cell_angle_gamma 90.00
loop_
_atom_site_label
_atom_site_type_symbol
_atom_site_fract_x
_atom_site_fract_y
_atom_site_fract_z
Si1 Si 0.2500 0.2500 0.2500
Si2 Si 0.2500 0.2500 0.7500
Si3 Si 0.2500 0.7500 0.2500
Si4 Si 0.2500 0.7500 0.7500
Si5 Si 0.7500 0.2500 0.2500
Si6 Si 0.7500 0.2500 0.7500
Si7 Si 0.7500 0.7500 0.2500
Si8 Si 0.7500 0.7500 0.7500
Pt1 Pt 0.0000 0.0000 0.0000
Pt2 Pt 0.0000 0.5000 0.5000
Pt3 Pt 0.5000 0.0000 0.5000
Pt4 Pt 0.5000 0.5000 0.0000
Cl1 Cl 0.0000 0.0000 0.5000
Cl2 Cl 0.0000 0.5000 0.0000
Cl3 Cl 0.5000 0.0000 0.0000
Cl4 Cl 0.5000 0.5000 0.5000
```

Values from the calculation:
Formation energy without anion corrections   0.29 eV per atom
Symmetry   Fm-3m (225)
Crystal system   cubic
Magnetic moment   0.00 μB/f.u.
ρ   7.3 g cm⁻³

***

Entry 8:
A relaxed structure of SiPtCl2. Source: the Alexandria database, functional PBE-GGA.

Cell and atoms, written as CIF:
```
data_SiPtCl2
_chemical_formula_sum 'Si4 Pt4 Cl8'
_symmetry_space_group_name_H-M 'P 1'
_symmetry_Int_Tables_number 1
_symmetry_space_group_name_Hall 'P 1'
_cell_length_a 6.5992
_cell_length_b 6.5992
_cell_length_c 6.5992
_cell_angle_alpha 90.00
_cell_angle_beta 90.00
_cell_angle_gamma 90.00
loop_
_atom_site_label
_atom_site_type_symbol
_atom_site_fract_x
_atom_site_fract_y
_atom_site_fract_z
Si1 Si 0.0000 0.0000 0.0000
Si2 Si 0.0000 0.5000 0.5000
Si3 Si 0.5000 0.0000 0.5000
Si4 Si 0.5000 0.5000 0.0000
Pt1 Pt 0.0000 0.0000 0.5000
Pt2 Pt 0.0000 0.5000 0.0000
Pt3 Pt 0.5000 0.0000 0.0000
Pt4 Pt 0.5000 0.5000 0.5000
Cl1 Cl 0.2500 0.2500 0.2500
Cl2 Cl 0.2500 0.2500 0.7500
Cl3 Cl 0.2500 0.7500 0.2500
Cl4 Cl 0.2500 0.7500 0.7500
Cl5 Cl 0.7500 0.2500 0.2500
Cl6 Cl 0.7500 0.2500 0.7500
Cl7 Cl 0.7500 0.7500 0.2500
Cl8 Cl 0.7500 0.7500 0.7500
```

Values from the calculation:
Formation energy without anion corrections   0.56 eV per atom
Symmetry   Fm-3m (225)
Crystal system   cubic
Magnetic moment   0.00 μB/f.u.
ρ   6.8 g cm⁻³

***

Entry 9:
A relaxed structure of Si2PtCl. Source: the Alexandria database, functional PBE-GGA.

Cell and atoms, written as CIF:
```
data_Si2PtCl
_chemical_formula_sum 'Si2 Pt1 Cl1'
_symmetry_space_group_name_H-M 'P 1'
_symmetry_Int_Tables_number 1
_symmetry_space_group_name_Hall 'P 1'
_cell_length_a 3.0519
_cell_length_b 3.0519
_cell_length_c 7.3765
_cell_angle_alpha 90.00
_cell_angle_beta 90.00
_cell_angle_gamma 90.00
loop_
_atom_site_label
_atom_site_type_symbol
_atom_site_fract_x
_atom_site_fract_y
_atom_site_fract_z
Si1 Si 0.0000 0.0000 0.0000
Si2 Si 0.5000 0.5000 0.2280
Pt1 Pt 0.5000 0.5000 0.8318
Cl1 Cl 0.0000 0.0000 0.4809
```

Values from the calculation:
Formation energy without anion corrections   0.08 eV per atom
Symmetry   P4mm (99)
Crystal system   tetragonal
Magnetic moment   0.00 μB/f.u.
ρ   6.9 g cm⁻³

***

Entry 10:
A relaxed structure of SiPtCl2. Source: the Alexandria database, functional PBE-GGA.

Cell and atoms, written as CIF:
```
data_SiPtCl2
_chemical_formula_sum 'Si2 Pt2 Cl4'
_symmetry_space_group_name_H-M 'P 1'
_symmetry_Int_Tables_number 1
_symmetry_space_group_name_Hall 'P 1'
_cell_length_a 3.2640
_cell_length_b 4.1349
_cell_length_c 13.4299
_cell_angle_alpha 90.00
_cell_angle_beta 90.00
_cell_angle_gamma 90.00
loop_
_atom_site_label
_atom_site_type_symbol
_atom_site_fract_x
_atom_site_fract_y
_atom_site_fract_z
Si1 Si 0.0000 0.0000 0.0000
Si2 Si 0.5000 0.5000 0.5000
Pt1 Pt 0.0000 0.5000 0.3679
Pt2 Pt 0.5000 0.0000 0.8679
Cl1 Cl 0.0000 0.0000 0.5835
Cl2 Cl 0.0000 0.5000 0.8318
Cl3 Cl 0.5000 0.0000 0.3318
Cl4 Cl 0.5000 0.5000 0.0835
```

Values from the calculation:
Formation energy without anion corrections   0.04 eV per atom
Symmetry   Imm2 (44)
Crystal system   orthorhombic
Magnetic moment   0.00 μB/f.u.
ρ   5.4 g cm⁻³

***

Entry 11:
A relaxed structure of Si2PtCl. Source: the Alexandria database, functional PBE-GGA.

Cell and atoms, written as CIF:
```
data_Si2PtCl
_chemical_formula_sum 'Si4 Pt2 Cl2'
_symmetry_space_group_name_H-M 'P 1'
_symmetry_Int_Tables_number 1
_symmetry_space_group_name_Hall 'P 1'
_cell_length_a 12.1436
_cell_length_b 2.7985
_cell_length_c 4.3450
_cell_angle_alpha 90.00
_cell_angle_beta 109.97
_cell_angle_gamma 90.00
loop_
_atom_site_label
_atom_site_type_symbol
_atom_site_fract_x
_atom_site_fract_y
_atom_site_fract_z
Si1 Si 0.0000 0.0000 0.0000
Si2 Si 0.2345 0.5000 0.3023
Si3 Si 0.5000 0.5000 0.0000
Si4 Si 0.7345 0.0000 0.3023
Pt1 Pt 0.3114 0.0000 0.8636
Pt2 Pt 0.8114 0.5000 0.8636
Cl1 Cl 0.0286 0.5000 0.5990
Cl2 Cl 0.5286 0.0000 0.5990
```

Values from the calculation:
Formation energy without anion corrections   0.10 eV per atom
Symmetry   Cm (8)
Crystal system   monoclinic
Magnetic moment   0.00 μB/f.u.
ρ   6.9 g cm⁻³

***

Entry 12:
A relaxed structure of SiPtCl2. Source: the Alexandria database, functional PBE-GGA.

Cell and atoms, written as CIF:
```
data_SiPtCl2
_chemical_formula_sum 'Si1 Pt1 Cl2'
_symmetry_space_group_name_H-M 'P 1'
_symmetry_Int_Tables_number 1
_symmetry_space_group_name_Hall 'P 1'
_cell_length_a 3.0382
_cell_length_b 3.1747
_cell_length_c 8.8522
_cell_angle_alpha 90.00
_cell_angle_beta 90.00
_cell_angle_gamma 90.00
loop_
_atom_site_label
_atom_site_type_symbol
_atom_site_fract_x
_atom_site_fract_y
_atom_site_fract_z
Si1 Si 0.0000 0.0000 0.0000
Pt1 Pt 0.5000 0.5000 0.1267
Cl1 Cl 0.0000 0.0000 0.7718
Cl2 Cl 0.5000 0.5000 0.4037
```

Values from the calculation:
Formation energy without anion corrections   -0.49 eV per atom
Symmetry   Pmm2 (25)
Crystal system   orthorhombic
Magnetic moment   0.00 μB/f.u.
ρ   5.7 g cm⁻³

***

Entry 13:
A relaxed structure of SiPtCl2. Source: the Alexandria database, functional PBE-GGA.

Cell and atoms, written as CIF:
```
data_SiPtCl2
_chemical_formula_sum 'Si2 Pt2 Cl4'
_symmetry_space_group_name_H-M 'P 1'
_symmetry_Int_Tables_number 1
_symmetry_space_group_name_Hall 'P 1'
_cell_length_a 3.2059
_cell_length_b 3.8768
_cell_length_c 14.5315
_cell_angle_alpha 90.00
_cell_angle_beta 90.00
_cell_angle_gamma 90.00
loop_
_atom_site_label
_atom_site_type_symbol
_atom_site_fract_x
_atom_site_fract_y
_atom_site_fract_z
Si1 Si 0.0000 0.0000 0.0000
Si2 Si 0.5000 0.5000 0.5000
Pt1 Pt 0.0000 0.0000 0.5000
Pt2 Pt 0.5000 0.5000 0.0000
Cl1 Cl 0.0000 0.5000 0.3545
Cl2 Cl 0.0000 0.5000 0.6455
Cl3 Cl 0.5000 0.0000 0.1455
Cl4 Cl 0.5000 0.0000 0.8545
```

Values from the calculation:
Formation energy without anion corrections   -0.07 eV per atom
Symmetry   Immm (71)
Crystal system   orthorhombic
Magnetic moment   0.00 μB/f.u.
ρ   5.4 g cm⁻³

***

Entry 14:
A relaxed structure of Si2PtCl. Source: the Alexandria database, functional PBE-GGA.

Cell and atoms, written as CIF:
```
data_Si2PtCl
_chemical_formula_sum 'Si4 Pt2 Cl2'
_symmetry_space_group_name_H-M 'P 1'
_symmetry_Int_Tables_number 1
_symmetry_space_group_name_Hall 'P 1'
_cell_length_a 7.0692
_cell_length_b 7.0381
_cell_length_c 2.8536
_cell_angle_alpha 90.00
_cell_angle_beta 98.19
_cell_angle_gamma 90.00
loop_
_atom_site_label
_atom_site_type_symbol
_atom_site_fract_x
_atom_site_fract_y
_atom_site_fract_z
Si1 Si 0.2500 0.2500 0.0000
Si2 Si 0.2500 0.7500 0.0000
Si3 Si 0.7500 0.2500 0.0000
Si4 Si 0.7500 0.7500 0.0000
Pt1 Pt 0.0000 0.0000 0.0000
Pt2 Pt 0.5000 0.5000 0.0000
Cl1 Cl 0.0000 0.5000 0.0000
Cl2 Cl 0.5000 0.0000 0.0000
```

Values from the calculation:
Formation energy without anion corrections   -0.04 eV per atom
Symmetry   C2/m (12)
Crystal system   monoclinic
Magnetic moment   0.00 μB/f.u.
ρ   6.8 g cm⁻³